(1)
Lu2CCl2: relaxed, PBE.

calculated volume: 111 Å³/f.u.
DFT total energy: -5.970 eV per atom
symmetry: R-3m

Lattice parameters (Å, degrees): 10.039 10.039 10.039 20.73 20.73 20.73
Fractional coordinates of all 5 atoms:
Lu1 0.123 0.123 0.123
Lu2 0.877 0.877 0.877
C1 0.500 0.500 0.500
Cl1 0.269 0.269 0.269
Cl2 0.731 0.731 0.731

(2)
Mg3CCl: relaxed, PBE.

calculated volume: 89 Å³/f.u.
DFT total energy: -3.303 eV per atom
excess energy over the best structure of this formula in the dataset: 0.000 eV per atom
symmetry: Pm-3m

Lattice parameters (Å, degrees): 4.472 4.472 4.472 90.00 90.00 90.00
Fractional coordinates of all 5 atoms:
Mg1 0.000 0.000 0.500
Mg2 0.000 0.500 0.000
Mg3 0.500 0.000 0.000
C1 0.000 0.000 0.000
Cl1 0.500 0.500 0.500

(3)
Mg2CCl: relaxed, PBE.

calculated volume: 60 Å³/f.u.
DFT total energy: -3.015 eV per atom
excess energy over the best structure of this formula in the dataset: 0.619 eV per atom
symmetry: Fm-3m

Lattice parameters (Å, degrees): 4.395 4.395 4.395 60.00 60.00 60.00
Fractional coordinates of all 4 atoms:
Mg1 0.250 0.250 0.250
Mg2 0.750 0.750 0.750
C1 0.000 0.000 0.000
Cl1 0.500 0.500 0.500

(4)
Mg2CCl: relaxed, PBE.

calculated volume: 80 Å³/f.u.
DFT total energy: -3.634 eV per atom
excess energy over the best structure of this formula in the dataset: 0.000 eV per atom
symmetry: I-42d

Lattice parameters (Å, degrees): 6.385 6.385 6.385 127.34 127.34 77.70
Fractional coordinates of all 8 atoms:
Mg1 0.049 0.625 0.924
Mg2 0.375 0.299 0.424
Mg3 0.701 0.125 0.076
Mg4 0.875 0.951 0.576
C1 0.000 0.000 0.000
C2 0.750 0.250 0.500
Cl1 0.250 0.750 0.500
Cl2 0.500 0.500 0.000

(5)
MgPCCl2: relaxed, PBE.

calculated volume: 132 Å³/f.u.
DFT total energy: -2.829 eV per atom
excess energy over the best structure of this formula in the dataset: 0.374 eV per atom
symmetry: P4/mmm

Lattice parameters (Å, degrees): 4.659 4.659 6.081 90.00 90.00 90.00
Fractional coordinates of all 5 atoms:
Mg1 0.000 0.000 0.000
P1 0.000 0.000 0.500
C1 0.500 0.500 0.500
Cl1 0.000 0.500 0.000
Cl2 0.500 0.000 0.000

(6)
MgPCCl2: relaxed, PBE.

calculated volume: 86 Å³/f.u.
DFT total energy: -3.203 eV per atom
excess energy over the best structure of this formula in the dataset: 0.000 eV per atom
symmetry: P4/mmm

Lattice parameters (Å, degrees): 4.585 4.585 4.106 90.00 90.00 90.00
Fractional coordinates of all 5 atoms:
Mg1 0.000 0.000 0.000
P1 0.500 0.500 0.000
C1 0.500 0.500 0.500
Cl1 0.000 0.500 0.500
Cl2 0.500 0.000 0.500

(7)
MgPbCCl2: relaxed, PBE.

calculated volume: 178 Å³/f.u.
DFT total energy: -2.590 eV per atom
symmetry: P4/mmm

Lattice parameters (Å, degrees): 5.569 5.569 5.755 90.00 90.00 90.00
Fractional coordinates of all 5 atoms:
Mg1 0.000 0.000 0.000
Pb1 0.000 0.000 0.500
C1 0.500 0.500 0.000
Cl1 0.000 0.500 0.500
Cl2 0.500 0.000 0.500

(8)
MgPdCCl2: relaxed, PBE.

calculated volume: 97 Å³/f.u.
DFT total energy: -3.404 eV per atom
symmetry: P4/mmm

Lattice parameters (Å, degrees): 4.977 4.977 3.920 90.00 90.00 90.00
Fractional coordinates of all 5 atoms:
Mg1 0.000 0.000 0.000
Pd1 0.500 0.500 0.000
C1 0.500 0.500 0.500
Cl1 0.000 0.500 0.500
Cl2 0.500 0.000 0.500

(9)
MgRh2CCl: relaxed, PBE.

calculated volume: 103 Å³/f.u.
DFT total energy: -3.375 eV per atom
symmetry: P4/mmm

Lattice parameters (Å, degrees): 4.787 4.787 4.476 90.00 90.00 90.00
Fractional coordinates of all 5 atoms:
Mg1 0.000 0.000 0.000
Rh1 0.000 0.500 0.000
Rh2 0.500 0.000 0.000
C1 0.500 0.500 0.500
Cl1 0.000 0.000 0.500

(10)
MgCS2Cl: relaxed, PBE.

calculated volume: 109 Å³/f.u.
DFT total energy: -2.796 eV per atom
excess energy over the best structure of this formula in the dataset: 0.780 eV per atom
symmetry: P4/mmm

Lattice parameters (Å, degrees): 4.861 4.861 4.632 90.00 90.00 90.00
Fractional coordinates of all 5 atoms:
Mg1 0.000 0.000 0.000
C1 0.500 0.500 0.500
S1 0.000 0.500 0.000
S2 0.500 0.000 0.000
Cl1 0.000 0.000 0.500

(11)
MgCS2Cl: relaxed, PBE.

calculated volume: 82 Å³/f.u.
DFT total energy: -3.577 eV per atom
excess energy over the best structure of this formula in the dataset: 0.000 eV per atom
symmetry: P4/mmm

Lattice parameters (Å, degrees): 4.048 4.048 4.979 90.00 90.00 90.00
Fractional coordinates of all 5 atoms:
Mg1 0.000 0.000 0.000
C1 0.500 0.500 0.500
S1 0.000 0.500 0.500
S2 0.500 0.000 0.500
Cl1 0.500 0.500 0.000

(12)
Mg2CSeCl: relaxed, PBE.

calculated volume: 87 Å³/f.u.
DFT total energy: -3.360 eV per atom
symmetry: P4/mmm

Lattice parameters (Å, degrees): 4.657 4.657 3.998 90.00 90.00 90.00
Fractional coordinates of all 5 atoms:
Mg1 0.000 0.500 0.000
Mg2 0.500 0.000 0.000
C1 0.000 0.000 0.000
Se1 0.500 0.500 0.500
Cl1 0.000 0.000 0.500

The evaluated energy relative to the elements, uncorrected for the records listed, in turn: -1.578, -0.132, 0.550, -0.069, 1.155, 0.781, 1.054, 0.537, 2.099, 1.388, 0.607, 0.189 eV/atom.
The evaluated calculated density for the records listed, in turn: 6.48, 2.23, 2.66, 2.00, 1.74, 2.66, 2.93, 3.65, 4.49, 2.06, 2.77, 3.35 g cm⁻³.